The following is a PBE-GGA calculation of PmU5C6 after structural relaxation, from Alexandria.

a b c (Å): 6.072 6.072 6.119
angles (deg): 99.59 99.59 119.59
Atoms (fractional coordinates):
1 Pm 0.000 0.000 0.000
2 U 0.161 0.839 0.500
3 U 0.331 0.669 0.000
4 U 0.500 0.500 0.500
5 U 0.669 0.331 0.000
6 U 0.839 0.161 0.500
7 C 0.090 0.448 0.269
8 C 0.280 0.280 0.749
9 C 0.448 0.090 0.269
10 C 0.552 0.910 0.731
11 C 0.720 0.720 0.251
12 C 0.910 0.552 0.731

Calculated values
- SG = C2/m (12)
- VASP energy (eV/atom) = -9.825
- crystal system = monoclinic
- E_form (eV per formula unit) = -1.37
- total magnetic moment (μB/cell) = 0.01